Record 1
A plane-wave DFT calculation with GGA-PBE was carried out for AcDyEr2 after structural relaxation.

Cell lengths 3.6637, 3.6637, 11.9149 Å; angles 81.16, 81.16, 60.00 degrees
Atoms (fractional coordinates):
Ac  0.5004  0.5004  0.4987
Er  0.2540  0.2540  0.2379
Er  0.0792  0.0792  0.7624
Dy  0.6663  0.6663  0.0010

Computed properties:
Size of the total moment in μB/f.u.: 0.00
ΔE_f in eV per formula unit: 0.3
Energy above the lowest structure with this stoichiometry in eV per formula unit: 0.03
D(E_F) in states/eV per cell: 5.57


Record 2
A plane-wave DFT calculation with GGA-PBE was carried out for AcDy3Er8 after structural relaxation.

Cell lengths 8.6870, 8.6870, 8.6870 Å; angles 98.31, 96.83, 137.44 degrees
Atoms (fractional coordinates):
Dy  0.5000  0.2357  0.7357
Er  0.1743  0.2521  0.4263
Er  0.0198  0.7557  0.2638
Ac  0.0000  0.0000  0.0000
Dy  0.5000  0.7643  0.2643
Dy  0.0000  0.5000  0.5000
Er  0.8257  0.2520  0.0777
Er  0.9802  0.2440  0.7359
Er  0.4919  0.7560  0.7362
Er  0.8258  0.7480  0.5737
Er  0.5081  0.2443  0.2641
Er  0.1742  0.7479  0.9223

Computed properties:
Size of the total moment in μB/f.u.: 0.00
ΔE_f in eV per formula unit: 4.0
D(E_F) in states/eV per cell: 17.71


| no. | total DFT energy (no corrections) (Ha/atom) | volume (Å³/atom) |
| --- | --- | --- |
| 1 | -0.1611 | 34.075 |
| 2 | -0.1544 | 34.427 |